*i*
Compound: Sm2Dy4Sc
Source: Alexandria via LeMat-Bulk
Functional: PBE-GGA
Structure: optimized geometry

Results
As for the total magnetization: 0.001 Bohr magnetons per cell. The calculated density comes out at 7.55 g cm⁻³. The crystal system is monoclinic.

Lattice parameters (Å, degrees): 6.0367 6.5456 11.4528 90.00 104.60 90.00
With the nearest neighbours (Å) after each atom.
Space group P2_1/m (No. 11)
Asymmetric unit:
Sm: 0.1091 0.2500 0.0011  6 Dy 3.28-3.67, 1 Sc 3.31, 2 Sm 3.53
Sm: 0.2186 0.2500 0.5754  9 Dy 3.35-3.60
Dy: 0.1443 0.0054 0.2870  5 Dy 3.20-3.50, 1 Sc 3.38, 1 Sm 3.44
Dy: 0.3496 0.7500 0.5599  1 Sc 3.19, 4 Sm 3.35-3.39, 4 Dy 3.48-3.50
Dy: 0.4715 0.7500 0.1341  3 Sc 3.28-3.43, 3 Sm 3.28-3.46, 2 Dy 3.39
Sc: 0.3513 0.7500 0.8384  6 Dy 3.19-3.43, 1 Sm 3.31

***

*ii*
Compound: Sm2Dy4Sc
Source: Alexandria via LeMat-Bulk
Functional: PBE-GGA
Structure: optimized geometry

Results
As for the total magnetization: 0.000 Bohr magnetons per cell. The calculated density comes out at 7.59 g cm⁻³. The crystal system is trigonal.

Lattice parameters (Å, degrees): 3.5587 3.5587 59.6120 90.00 90.00 120.00
With the nearest neighbours (Å) after each atom.
Space group R-3m (No. 166, hexagonal axes)
Asymmetric unit:
Sm: 0.0000 0.0000 0.1917  9 Sm 3.56-3.63, 3 Dy 3.56
Dy: 0.0000 0.0000 0.0928  9 Dy 3.52-3.56, 3 Sm 3.56
Dy: 0.0000 0.0000 0.3782  3 Sc 3.37, 9 Dy 3.52-3.56
Sc: 0.0000 0.0000 0.0000  6 Dy 3.37, 6 Sc 3.56

***

Of all the structures shown, which is most stable? *ii*, and *i* is the least stable.